1.
A plane-wave DFT calculation with PBE was carried out for a geometry-optimized Mg2TaRh structure.

Cell lengths 4.5550, 4.5550, 4.5550 Å; angles 119.97, 119.97, 90.05 degrees
Last column: nearest neighbours and their distance in Å.
Atoms (fractional coordinates):
1 Mg 0.0000 0.0000 0.0000  4 Ta 2.79, 4 Mg 2.79
2 Mg 0.2500 0.7500 0.5000  4 Mg 2.79, 4 Rh 2.79
3 Rh 0.5000 0.5000 0.0000  4 Mg 2.79, 4 Ta 2.79
4 Ta 0.7500 0.2500 0.5000  4 Rh 2.79, 4 Mg 2.79

Output
E	-5.744	eV per atom
crystal system	cubic
magnetic moment	0.0	μB per cell
energy relative to the elements	-145	meV per atom

2.
A plane-wave DFT calculation with PBE was carried out for a geometry-optimized MgTaRh2 structure.

Cell lengths 4.5029, 4.5029, 5.1960 Å; angles 77.28, 77.28, 39.56 degrees
Last column: nearest neighbours and their distance in Å.
Atoms (fractional coordinates):
1 Mg 0.2500 0.2500 0.2500  6 Rh 2.71-2.75, 4 Ta 3.01
2 Rh 0.0078 0.0078 0.9903  3 Ta 2.63-2.76, 3 Mg 2.71-2.75
3 Rh 0.4922 0.4922 0.5097  3 Ta 2.63-2.76, 3 Mg 2.71-2.75
4 Ta 0.7500 0.7500 0.7500  6 Rh 2.63-2.76

Output
E	-7.299	eV per atom
crystal system	monoclinic
magnetic moment	0.0	μB per cell
energy relative to the elements	-261	meV per atom

3.
A plane-wave DFT calculation with PBE was carried out for a geometry-optimized Mg2TaRh structure.

Cell lengths 3.3194, 4.4017, 6.3904 Å; angles 47.48, 90.00, 90.00 degrees
Last column: nearest neighbours and their distance in Å.
Atoms (fractional coordinates):
1 Mg 0.0000 0.0000 0.0000  4 Mg 2.76, 4 Rh 2.88
2 Mg 0.5000 0.5000 0.0000  4 Mg 2.76, 4 Ta 2.88
3 Rh 0.5000 0.5000 0.5000  4 Ta 2.76, 4 Mg 2.88
4 Ta 0.0000 0.0000 0.5000  4 Rh 2.76, 4 Mg 2.88

Output
E	-5.634	eV per atom
crystal system	monoclinic
magnetic moment	0.0	μB per cell
energy relative to the elements	-36	meV per atom

4.
A plane-wave DFT calculation with PBE was carried out for a geometry-optimized MgTa2Rh structure.

Cell lengths 9.8613, 9.8613, 9.8613 Å; angles 16.85, 16.85, 16.85 degrees
Last column: nearest neighbours and their distance in Å.
Atoms (fractional coordinates):
1 Mg 0.2500 0.2500 0.2500  6 Mg 2.89, 6 Ta 3.10
2 Rh 0.7500 0.7500 0.7500  6 Ta 2.79, 6 Rh 2.89
3 Ta 0.0064 0.0064 0.0064  3 Rh 2.79, 6 Ta 2.89, 3 Mg 3.10
4 Ta 0.4936 0.4936 0.4936  3 Rh 2.79, 6 Ta 2.89, 3 Mg 3.10

Output
E	-8.129	eV per atom
crystal system	trigonal
magnetic moment	0.0	μB per cell
energy relative to the elements	34	meV per atom

5.
A plane-wave DFT calculation with PBE was carried out for a geometry-optimized MgTaRh structure.

Cell lengths 4.3380, 4.3380, 4.3380 Å; angles 60.00, 60.00, 60.00 degrees
Last column: nearest neighbours and their distance in Å.
Atoms (fractional coordinates):
1 Mg 0.5000 0.5000 0.5000  4 Rh 2.66
2 Rh 0.7500 0.7500 0.7500  4 Ta 2.66, 4 Mg 2.66
3 Ta 0.0000 0.0000 0.0000  4 Rh 2.66

Output
E	-6.899	eV per atom
crystal system	cubic
magnetic moment	0.4	μB per cell
energy relative to the elements	33	meV per atom

6.
A plane-wave DFT calculation with PBE was carried out for a geometry-optimized MgTaRh structure.

Cell lengths 5.7255, 5.7253, 3.0976 Å; angles 74.31, 74.30, 31.39 degrees
Last column: nearest neighbours and their distance in Å.
Atoms (fractional coordinates):
1 Mg 0.9890 0.9890 0.0110  4 Rh 2.78, 4 Ta 3.01, 4 Mg 3.10
2 Rh 0.3274 0.3274 0.6726  4 Ta 2.67, 4 Mg 2.78
3 Ta 0.6836 0.6836 0.3164  4 Rh 2.67

Output
E	-7.154	eV per atom
crystal system	tetragonal
magnetic moment	0.0	μB per cell
energy relative to the elements	-221	meV per atom

7.
A plane-wave DFT calculation with PBE was carried out for a geometry-optimized Mg2TaRh structure.

Cell lengths 5.4376, 5.4376, 5.4376 Å; angles 145.17, 127.76, 64.33 degrees
Last column: nearest neighbours and their distance in Å.
Atoms (fractional coordinates):
1 Mg 0.0033 0.0033 0.0000  4 Rh 2.90, 4 Mg 3.02-3.16, 4 Ta 3.03-3.15
2 Mg 0.7265 0.2265 0.5000  2 Rh 2.72, 4 Ta 2.94, 2 Mg 3.02
3 Rh 0.4896 0.4896 0.0000  2 Ta 2.52, 2 Mg 2.72
4 Ta 0.2806 0.7806 0.5000  2 Rh 2.52

Output
E	-5.643	eV per atom
crystal system	orthorhombic
magnetic moment	0.0	μB per cell
energy relative to the elements	-44	meV per atom

8.
A plane-wave DFT calculation with PBE was carried out for a geometry-optimized Mg2TaRh structure.

Cell lengths 7.5250, 7.5250, 5.9396 Å; angles 50.69, 50.69, 90.00 degrees
Last column: nearest neighbours and their distance in Å.
Atoms (fractional coordinates):
1 Mg 0.5851 0.1250 0.2500  2 Rh 2.54, 2 Mg 2.71
2 Mg 0.1649 0.6250 0.2500  2 Rh 2.54, 2 Mg 2.71
3 Mg 0.3750 0.4149 0.7500  2 Rh 2.54, 2 Mg 2.71
4 Mg 0.8750 0.8351 0.7500  2 Rh 2.54, 2 Mg 2.71
5 Rh 0.5000 0.5000 0.0000  4 Mg 2.54, 2 Ta 2.64
6 Rh 0.2500 0.7500 0.5000  4 Mg 2.54, 2 Ta 2.64
7 Ta 0.0000 0.0000 0.0000  2 Rh 2.64, 4 Mg 2.96
8 Ta 0.7500 0.2500 0.5000  2 Rh 2.64, 4 Mg 2.96

Output
E	-5.178	eV per atom
crystal system	tetragonal
magnetic moment	0.0	μB per cell
energy relative to the elements	420	meV per atom

9.
A plane-wave DFT calculation with PBE was carried out for a geometry-optimized MgTa2Rh structure.

Cell lengths 5.2835, 5.2835, 5.2835 Å; angles 136.99, 136.99, 62.46 degrees
Last column: nearest neighbours and their distance in Å.
Atoms (fractional coordinates):
1 Mg 0.2500 0.7500 0.5000  4 Rh 2.74, 8 Ta 2.98
2 Rh 0.7500 0.2500 0.5000  4 Mg 2.74, 8 Ta 2.98
3 Ta 0.0000 0.0000 0.0000  4 Ta 2.74, 4 Mg 2.98, 4 Rh 2.98
4 Ta 0.5000 0.5000 0.0000  4 Ta 2.74, 4 Mg 2.98, 4 Rh 2.98

Output
E	-8.173	eV per atom
crystal system	tetragonal
magnetic moment	0.0	μB per cell
energy relative to the elements	-10	meV per atom

10.
A plane-wave DFT calculation with PBE was carried out for a geometry-optimized MgTaRh2 structure.

Cell lengths 4.5580, 4.5580, 3.0202 Å; angles 90.00, 90.00, 94.74 degrees
Last column: nearest neighbours and their distance in Å.
Atoms (fractional coordinates):
1 Mg 0.0000 0.5000 0.5000  8 Rh 2.73, 2 Mg 3.02
2 Rh 0.0000 0.0000 0.0000  4 Mg 2.73, 4 Ta 2.73, 2 Rh 3.02
3 Rh 0.5000 0.5000 0.0000  4 Ta 2.73, 4 Mg 2.73, 2 Rh 3.02
4 Ta 0.5000 0.0000 0.5000  8 Rh 2.73, 2 Ta 3.02

Output
E	-7.563	eV per atom
crystal system	orthorhombic
magnetic moment	0.0	μB per cell
energy relative to the elements	-525	meV per atom

11.
A plane-wave DFT calculation with PBE was carried out for a geometry-optimized MgTa2Rh structure.

Cell lengths 3.1609, 4.4658, 4.7951 Å; angles 90.00, 90.00, 90.00 degrees
Last column: nearest neighbours and their distance in Å.
Atoms (fractional coordinates):
1 Mg 0.5000 0.0000 0.5000  4 Rh 2.74, 4 Ta 2.87
2 Rh 0.0000 0.5000 0.5000  4 Mg 2.74, 4 Ta 2.87
3 Ta 0.0000 0.0000 0.0000  4 Ta 2.74, 4 Mg 2.87
4 Ta 0.5000 0.5000 0.0000  4 Ta 2.74, 4 Rh 2.87

Output
E	-8.226	eV per atom
crystal system	orthorhombic
magnetic moment	0.0	μB per cell
energy relative to the elements	-63	meV per atom

12.
A plane-wave DFT calculation with PBE was carried out for a geometry-optimized MgTaRh2 structure.

Cell lengths 4.4762, 4.4762, 4.4762 Å; angles 60.00, 60.00, 60.00 degrees
Last column: nearest neighbours and their distance in Å.
Atoms (fractional coordinates):
1 Mg 0.5000 0.5000 0.5000  4 Ta 2.74, 4 Rh 2.74
2 Rh 0.0000 0.0000 0.0000  4 Ta 2.74, 4 Rh 2.74
3 Rh 0.2500 0.2500 0.2500  4 Mg 2.74, 4 Rh 2.74
4 Ta 0.7500 0.7500 0.7500  4 Mg 2.74, 4 Rh 2.74

Output
E	-7.017	eV per atom
crystal system	cubic
magnetic moment	0.0	μB per cell
energy relative to the elements	20	meV per atom